A geometry-optimized KMn2Sb structure. Source: Alexandria via LeMat-Bulk, functional PBE.

a = 6.1886 Å, b = 6.1886 Å, c = 3.0716 Å
α = 104.22°, β = 104.22°, γ = 115.81°
With the nearest neighbours (Å) after each atom.
Element x y z (fractional)
1 K 0.0000 0.0000 0.0000  2 K 3.07, 4 Mn 3.10, 4 Sb 3.29-3.30
2 Mn 0.0000 0.5000 0.5000  6 Mn 3.07-3.30, 2 K 3.10, 2 Sb 3.10
3 Mn 0.5000 0.0000 0.5000  6 Mn 3.07-3.30, 2 K 3.10, 2 Sb 3.10
4 Sb 0.5000 0.5000 0.0000  2 Sb 3.07, 4 Mn 3.10, 4 K 3.29-3.30

M_tot: 2.013 μB per atom
density: 4787 kg/m3
SG: C2/m
formation energy without anion corrections: 0.708 eV per atom